Entry 1:
# LiHIr | the Alexandria database | PBE | relaxed
data_LiHIr
_cell_length_a 2.8152
_cell_length_b 4.8858
_cell_length_c 4.6571
_cell_angle_alpha 109.39
_cell_angle_beta 90.00
_cell_angle_gamma 90.00
_space_group_name_H-M_alt 'P 1'
_space_group_IT_number 1
_space_group_name_Hall 'P 1'
loop_
_atom_site_label
_atom_site_fract_x
_atom_site_fract_y
_atom_site_fract_z
H1 0.2500 0.4814 0.6830
H2 0.7500 0.5186 0.3170
Ir1 0.2500 0.7689 0.4944
Ir2 0.7500 0.2311 0.5056
Li1 0.2500 0.2424 0.0097
Li2 0.7500 0.7576 0.9903
# symmetry: P2_1/m, No. 11
# E: -4.9239 eV/atom
# D(E_F): 2.94 states/eV/cell
# magnetization: 0.000 μB per formula unit

***

Entry 2:
# Al2RhBr | the Alexandria database | PBE | relaxed
data_Al2RhBr
_cell_length_a 3.0812
_cell_length_b 3.0796
_cell_length_c 7.4267
_cell_angle_alpha 90.00
_cell_angle_beta 90.00
_cell_angle_gamma 90.00
_space_group_name_H-M_alt 'P 1'
_space_group_IT_number 1
_space_group_name_Hall 'P 1'
loop_
_atom_site_label
_atom_site_fract_x
_atom_site_fract_y
_atom_site_fract_z
Rh1 0.5000 0.5000 0.7500
Al1 0.0000 0.0000 0.9487
Al2 0.0000 0.0000 0.5513
Br1 0.5000 0.5000 0.2500
# raw formation energy: -1.32 eV/f.u.
# symmetry: P4/mmm, No. 123
# D(E_F): 2.69 states/eV/cell
# energy relative to the lowest polymorph listed for this composition: 185 meV per atom
# magnetization: 0.000 μB per formula unit

***

Which of these has the lowest D(E_F)?
Al2RhBr

***

Which value of magnetization does entry 2 give?
0.000 μB per formula unit

***

Among the records above, which one has the highest D(E_F)?
LiHIr